No. 1
Pu2MnPb | Alexandria | GGA-PBE | optimized geometry; density = 13.47 g/cm3; offset from the most stable computed form = 0 meV/atom; formation energy from the elements = -4 kJ per mole of atoms
1.0
-1.000 1.255 2.790
-2.988 0.226 -1.173
-1.814 -8.201 3.039
Pb Pu Mn
1 2 1
Direct
0.500 0.500 0.500
0.000 0.000 0.202
0.000 0.000 0.798
0.500 0.500 0.000

=====

No. 2
Ac3Si2Ge2 | Alexandria | GGA-PBE | optimized geometry; density = 7.68 g/cm3; offset from the most stable computed form = 26 meV/atom; E_form (uncorrected) = -0.63 eV per atom
1.0
-1.379 -3.809 -1.121
2.327 0.383 -4.163
7.210 -2.226 6.575
Ac Si Ge
3 2 2
Direct
0.000 0.000 0.000
0.680 0.180 0.359
0.320 0.820 0.641
0.437 0.437 0.874
0.563 0.563 0.126
0.142 0.642 0.284
0.858 0.358 0.716

=====

No. 3
DyEr2IO8 | Alexandria | GGA-PBE | optimized geometry; density = 7.37 g/cm3; E_form (uncorrected) = -2.37 eV per atom
1.0
4.994 -0.043 -0.003
-0.013 4.995 -0.006
0.004 0.007 6.795
Dy O Er I
1 8 2 1
Direct
0.000 0.000 0.500
0.271 0.270 0.000
0.311 0.310 0.500
0.689 0.690 0.500
0.729 0.730 0.000
0.182 0.818 0.792
0.818 0.182 0.792
0.182 0.818 0.208
0.818 0.182 0.208
0.500 0.500 0.252
0.500 0.500 0.748
0.000 0.000 0.000

=====

No. 4
LaSmHg5 | Alexandria | GGA-PBE | optimized geometry; density = 10.84 g/cm3; formation energy from the elements = -30 kJ per mole of atoms
1.0
4.720 0.000 0.000
0.000 4.720 0.000
0.000 0.000 8.885
Hg La Sm
5 1 1
Direct
0.500 0.000 0.752
0.000 0.500 0.752
0.000 0.500 0.248
0.500 0.000 0.248
0.500 0.500 0.500
0.500 0.500 0.000
0.000 0.000 0.500

=====

No. 5
Zr2InCu2 | Alexandria | GGA-PBE | optimized geometry; density = 6.97 g/cm3; formation energy from the elements = 10 kJ per mole of atoms
1.0
-1.769 3.508 -1.703
-1.755 -2.386 -3.092
-6.249 -0.185 0.725
Zr Cu In
2 2 1
Direct
0.250 0.750 0.500
0.750 0.250 0.500
0.602 0.602 0.797
0.398 0.398 0.203
0.000 0.000 0.000

=====

No. 6
TbNdTh2 | Alexandria | GGA-PBE | optimized geometry; density = 9.71 g/cm3; offset from the most stable computed form = 162 meV/atom; formation energy from the elements = 18 kJ per mole of atoms
1.0
-5.700 0.177 -0.091
-2.930 -3.952 -2.885
-3.020 -3.933 2.818
Th Tb Nd
2 1 1
Direct
0.250 0.250 0.250
0.750 0.750 0.750
0.000 0.000 0.000
0.500 0.500 0.500

=====

No. 7
LiCr3Pd | Alexandria | GGA-PBE | optimized geometry; density = 3.71 g/cm3; offset from the most stable computed form = 0 meV/atom; formation energy from the elements = 113 kJ per mole of atoms
1.0
-4.523 1.860 0.691
-1.984 -4.264 -1.508
0.028 -1.659 4.652
Cr Pd Li
3 1 1
Direct
0.000 0.500 0.000
0.000 0.000 0.500
0.500 0.000 0.000
0.000 0.000 0.000
0.500 0.500 0.500

=====

No. 8
VSi3C | Alexandria | GGA-PBE | optimized geometry; density = 3.88 g/cm3; offset from the most stable computed form = 0 meV/atom; E_form (uncorrected) = 0.86 eV per atom
1.0
-3.774 1.247 -0.176
-1.219 -3.756 -0.484
-0.318 -0.405 3.945
Si V C
3 1 1
Direct
0.500 0.000 0.000
0.000 0.500 0.000
0.000 0.000 0.500
0.500 0.500 0.500
0.000 0.000 0.000

=====

No. 9
CdCu | Alexandria | GGA-PBE | optimized geometry; density = 8.72 g/cm3; formation energy from the elements = 14 kJ per mole of atoms
1.0
-1.660 -2.339 0.722
2.294 0.766 1.701
-2.648 2.618 2.392
Cd Cu
1 1
Direct
0.000 0.000 0.000
0.333 0.667 0.500

=====

No. 10
Hf4CoOs3 | Alexandria | GGA-PBE | optimized geometry; density = 16.45 g/cm3; formation energy from the elements = -59 kJ per mole of atoms
1.0
-2.017 2.243 1.149
-0.215 -1.619 2.785
10.121 6.705 4.679
Hf Os Co
4 3 1
Direct
0.000 0.000 0.121
0.000 0.000 0.879
0.000 0.000 0.373
0.000 0.000 0.627
0.500 0.500 0.500
0.500 0.500 0.753
0.500 0.500 0.247
0.500 0.500 0.000

=====

No. 11
BeVAu | Alexandria | GGA-PBE | optimized geometry; density = 10.80 g/cm3; offset from the most stable computed form = 23 meV/atom; formation energy from the elements = -6 kJ per mole of atoms
1.0
3.773 0.000 -0.002
0.000 3.244 0.002
-1.889 -0.022 6.456
Be Au V
2 2 2
Direct
0.359 0.964 0.249
0.672 0.967 0.872
0.846 0.463 0.222
0.185 0.468 0.900
0.016 0.965 0.561
0.515 0.466 0.561

=====

No. 12
LaTaMoOs | Alexandria | GGA-PBE | optimized geometry; density = 10.55 g/cm3; offset from the most stable computed form = 3 meV/atom; formation energy from the elements = 27 kJ per mole of atoms
1.0
-4.222 4.424 -0.119
-2.515 -2.327 2.747
5.426 0.747 5.601
Ta Mo Os La
2 2 2 2
Direct
0.244 0.500 0.178
0.244 0.000 0.678
0.078 0.500 0.456
0.078 0.000 0.956
0.080 0.500 0.789
0.080 0.000 0.289
0.641 0.000 0.482
0.641 0.500 0.982

=====

No. 13
DyLuMg2 | Alexandria | GGA-PBE | optimized geometry; density = 6.03 g/cm3; offset from the most stable computed form = 0 meV/atom; formation energy from the elements = -7 kJ per mole of atoms
1.0
5.319 0.000 0.000
2.659 4.606 0.000
2.659 1.535 4.343
Dy Mg Lu
1 2 1
Direct
0.500 0.500 0.500
0.750 0.750 0.750
0.250 0.250 0.250
0.000 0.000 0.000

=====

No. 14
KScSiBr2 | Alexandria | GGA-PBE | optimized geometry; density = 2.56 g/cm3; E_form (uncorrected) = -0.16 eV per atom
1.0
5.879 0.000 0.000
0.000 5.102 0.000
0.000 0.000 5.879
K Br Sc Si
1 2 1 1
Direct
0.500 0.500 0.500
0.500 0.000 0.000
0.000 0.000 0.500
0.000 0.500 0.000
0.000 0.000 0.000

=====

No. 15
UFe2B6 | Alexandria | GGA-PBE | optimized geometry; density = 8.80 g/cm3; formation energy from the elements = -50 kJ per mole of atoms
1.0
5.349 -0.007 -0.001
0.959 5.262 0.001
-1.867 -4.172 2.778
B U Fe
6 1 2
Direct
0.043 0.304 0.739
0.957 0.696 0.261
0.435 0.696 0.739
0.565 0.304 0.261
0.145 0.500 0.645
0.855 0.500 0.355
0.500 0.000 0.500
0.847 0.847 0.000
0.153 0.153 0.000

=====

No. 16
Sr2SbH | Alexandria | GGA-PBE | optimized geometry; density = 3.50 g/cm3; offset from the most stable computed form = 251 meV/atom
1.0
-3.711 2.117 -4.683
3.370 -3.359 -4.189
-4.478 -6.106 -3.502
H Sb Sr
2 2 4
Direct
0.500 0.500 0.000
0.250 0.750 0.500
0.000 0.000 0.000
0.750 0.250 0.500
0.202 0.625 0.250
0.875 0.798 0.750
0.375 0.452 0.750
0.548 0.125 0.250

=====

No. 17
La5Tb2PrHo | Alexandria | GGA-PBE | optimized geometry; density = 6.74 g/cm3; formation energy from the elements = 27 kJ per mole of atoms
1.0
-4.523 1.508 8.270
-6.669 -6.361 -2.488
9.417 -2.767 0.146
La Pr Ho Tb
10 2 2 4
Direct
0.664 0.164 0.731
0.000 0.000 0.000
0.567 0.664 0.731
0.164 0.067 0.731
0.933 0.433 0.269
0.433 0.336 0.269
0.836 0.933 0.269
0.500 0.500 0.000
0.067 0.567 0.731
0.336 0.836 0.269
0.750 0.750 0.500
0.250 0.250 0.500
0.250 0.750 0.500
0.750 0.250 0.500
0.892 0.608 0.000
0.108 0.392 0.000
0.392 0.892 0.000
0.608 0.108 0.000

=====

No. 18
VCu3Au4 | Alexandria | GGA-PBE | optimized geometry; density = 13.83 g/cm3; formation energy from the elements = 0 kJ per mole of atoms
1.0
4.685 0.000 0.000
0.000 5.787 0.000
0.000 0.000 9.118
Au V Cu
8 2 6
Direct
0.500 0.751 0.500
0.500 0.249 0.500
0.889 0.248 0.250
0.111 0.248 0.750
0.889 0.752 0.250
0.111 0.752 0.750
0.500 0.751 0.000
0.500 0.249 0.000
0.000 0.500 0.000
0.000 0.500 0.500
0.375 0.500 0.250
0.000 0.000 0.000
0.625 0.500 0.750
0.000 0.000 0.500
0.619 0.000 0.750
0.381 0.000 0.250

=====

No. 19
Na2ZnCdW | Alexandria | GGA-PBE | optimized geometry; density = 4.17 g/cm3; formation energy from the elements = 129 kJ per mole of atoms
1.0
-1.322 5.194 -1.279
-4.494 -0.441 2.853
2.668 1.782 4.479
Na W Zn Cd
2 1 1 1
Direct
0.500 0.000 0.000
0.000 0.000 0.500
0.000 0.500 0.000
0.500 0.500 0.500
0.000 0.000 0.000

=====

No. 20
Ac4La2Ge3O2 | Alexandria | GGA-PBE | optimized geometry; density = 7.43 g/cm3; E_form (uncorrected) = -1.38 eV per atom
1.0
-3.958 -1.592 2.669
3.107 -2.086 3.364
0.530 12.644 3.585
La Ac O Ge
2 4 2 3
Direct
0.298 0.298 0.595
0.702 0.702 0.405
0.083 0.583 0.165
0.583 0.083 0.165
0.417 0.917 0.835
0.917 0.417 0.835
0.608 0.608 0.215
0.392 0.392 0.785
0.175 0.175 0.351
0.825 0.825 0.649
0.000 0.000 0.000